Arrangement A

! CaRe2Os2 (PBE, optimized geometry); values from VASP
&SYSTEM
  ibrav = 0, nat = 5, ntyp = 3
/
ATOMIC_SPECIES
Ca 40.08 Ca.upf
Re 186.21 Re.upf
Os 190.23 Os.upf
ATOMIC_POSITIONS angstrom
Ca 0.0000 0.0000 0.0000
Re 2.1568 0.0000 2.5744
Re 0.0000 2.1568 2.5744
Os 0.0000 0.0000 3.8820
Os 0.0000 0.0000 6.4156
CELL_PARAMETERS angstrom
-2.1568 2.1568 5.1488
2.1568 -2.1568 5.1488
2.1568 2.1568 -5.1488
! SG = I4/mmm (139)



Arrangement B

! CaRe2Os2 (PBE, optimized geometry); values from VASP
&SYSTEM
  ibrav = 0, nat = 10, ntyp = 3
/
ATOMIC_SPECIES
Ca 40.08 Ca.upf
Re 186.21 Re.upf
Os 190.23 Os.upf
ATOMIC_POSITIONS angstrom
Ca 0.0000 0.0000 0.0000
Ca 3.9341 3.9341 0.0000
Re 0.9383 2.9958 0.0000
Re 2.9958 6.9300 0.0000
Re 4.8724 0.9383 0.0000
Re 6.9300 4.8724 0.0000
Os 1.3285 5.2626 1.3722
Os 2.6056 1.3285 1.3722
Os 5.2626 6.5397 1.3722
Os 6.5397 2.6056 1.3722
CELL_PARAMETERS angstrom
7.8682 0.0000 0.0000
0.0000 7.8682 0.0000
0.0000 0.0000 2.7443
! SG = P4/mbm (127)



Arrangement C

! CaRe2Os2 (PBE, optimized geometry); values from VASP
&SYSTEM
  ibrav = 0, nat = 10, ntyp = 3
/
ATOMIC_SPECIES
Ca 40.08 Ca.upf
Re 186.21 Re.upf
Os 190.23 Os.upf
ATOMIC_POSITIONS angstrom
Ca 0.0000 0.0000 0.0000
Ca 3.9109 3.9109 0.0000
Re 1.3003 2.6106 1.3840
Re 2.6106 6.5215 1.3840
Re 5.2111 1.3003 1.3840
Re 6.5215 5.2111 1.3840
Os 0.9708 4.8817 0.0000
Os 2.9400 0.9708 0.0000
Os 4.8817 6.8509 0.0000
Os 6.8509 2.9400 0.0000
CELL_PARAMETERS angstrom
7.8217 0.0000 0.0000
0.0000 7.8217 0.0000
0.0000 0.0000 2.7681
! SG = P4/mbm (127)



The most stable arrangement is arrangement A, and the next structure is 6 meV per atom less stable.